1.
The following is a DFT calculation (PBE-GGA) of a relaxed PrErTl2Se4 crystal.

Calculated values
- SG: No. 10

Lattice parameters (Å, degrees): 7.379 4.256 8.141 90.00 107.53 90.00
Positions (direct):
Pr 0.000 0.000 0.000
Er 0.500 0.500 0.000
Tl 0.000 0.500 0.500
Tl 0.500 0.000 0.500
Se 0.248 0.500 0.210
Se 0.276 0.000 0.795
Se 0.724 0.000 0.205
Se 0.752 0.500 0.790

=====

2.
The following is a DFT calculation (PBE-GGA) of a relaxed Pr2ErTl3Se6 crystal.

Calculated values
- SG: No. 12

Lattice parameters (Å, degrees): 7.433 7.433 8.143 98.76 98.76 119.97
Positions (direct):
Pr 0.167 0.833 0.000
Pr 0.833 0.167 0.000
Er 0.500 0.500 0.000
Tl 0.000 0.000 0.500
Tl 0.331 0.669 0.500
Tl 0.669 0.331 0.500
Se 0.109 0.431 0.792
Se 0.249 0.249 0.211
Se 0.431 0.109 0.792
Se 0.569 0.891 0.208
Se 0.751 0.751 0.789
Se 0.891 0.569 0.208

=====

no.,uncorrected formation energy (eV/atom)
1,-1.3707
2,-1.3731